Entry 1:
Ba2YF, relaxed, DFT GGA-PBE; energy = -3.2656 eV/atom; crystal system = cubic; symmetry = Fm-3m; formation energy (no corrections) = -0.220 eV per atom
1.0
0.000 4.361 4.361
4.361 0.000 4.361
4.361 4.361 0.000
Ba Y F
2 1 1
Direct
0.750 0.750 0.750
0.250 0.250 0.250
0.500 0.500 0.500
0.000 0.000 0.000

***

Entry 2:
V2CoSi, relaxed, DFT GGA-PBE; energy = -7.5842 eV/atom; crystal system = tetragonal; symmetry = I-42d; formation energy (no corrections) = 0.107 eV per atom
1.0
-4.637 -4.600 -0.417
3.805 -4.139 3.352
-1.406 -3.563 3.587
V Si Co
4 2 2
Direct
0.375 0.353 0.750
0.875 0.897 0.750
0.647 0.125 0.250
0.103 0.625 0.250
0.500 0.500 0.000
0.250 0.750 0.500
0.000 0.000 0.000
0.750 0.250 0.500

***

Entry 3:
AcTl3Os2O9, relaxed, DFT GGA-PBE; energy = -6.5083 eV/atom; crystal system = trigonal; symmetry = P-3m1; formation energy (no corrections) = -1.289 eV per atom
1.0
5.899 0.000 0.000
-2.949 5.108 0.000
0.000 0.000 7.565
O Ac Tl Os
9 1 3 2
Direct
0.500 0.500 0.000
0.000 0.500 0.000
0.183 0.366 0.288
0.817 0.634 0.712
0.183 0.817 0.288
0.366 0.183 0.712
0.634 0.817 0.288
0.817 0.183 0.712
0.500 0.000 0.000
0.000 0.000 0.500
0.333 0.667 0.678
0.667 0.333 0.322
0.000 0.000 0.000
0.667 0.333 0.857
0.333 0.667 0.143

***

Entry 4:
Y3BiC, relaxed, DFT GGA-PBE; energy = -6.9635 eV/atom; crystal system = monoclinic; symmetry = P2_1/c; ΔH_f (0 K) = -464 meV per atom
1.0
25.438 0.000 -3.354
0.000 6.476 0.000
-9.096 0.000 4.302
Y C Bi
12 4 4
Direct
0.192 0.424 0.529
0.808 0.576 0.471
0.416 0.825 0.598
0.084 0.325 0.902
0.584 0.175 0.402
0.692 0.076 0.029
0.847 0.073 0.725
0.153 0.927 0.275
0.308 0.924 0.971
0.653 0.573 0.775
0.916 0.675 0.098
0.347 0.427 0.225
0.519 0.752 0.632
0.981 0.252 0.868
0.019 0.748 0.132
0.481 0.248 0.368
0.003 0.801 0.639
0.997 0.199 0.361
0.497 0.301 0.861
0.503 0.699 0.139